(1)
A relaxed PmZrTc crystal. Source: Alexandria, functional PBE.

Output
- formation enthalpy at 0 K (kJ/mol of formula units) = -13
- ρ (g cm⁻³) = 7.81

Cell and atoms, written as CIF:
```
data_PmZrTc
_chemical_formula_sum 'Pm2 Zr2 Tc2'
_cell_length_a 3.389
_cell_length_b 3.389
_cell_length_c 12.379
_cell_angle_alpha 90.00
_cell_angle_beta 90.00
_cell_angle_gamma 90.00
_space_group_name_H-M_alt 'I 4 m m'
_space_group_IT_number 107
_space_group_name_Hall 'I 4 -2'
loop_
_atom_site_label
_atom_site_type_symbol
_atom_site_fract_x
_atom_site_fract_y
_atom_site_fract_z
Pm1 Pm 0.000 0.000 0.000
Zr1 Zr 0.000 0.000 0.265
Tc1 Tc 0.000 0.000 0.655
```


(2)
A relaxed AcLaHgRu crystal. Source: Alexandria, functional PBE.

Output
- formation enthalpy at 0 K (kJ/mol of formula units) = -75
- ρ (g cm⁻³) = 10.13

Cell and atoms, written as CIF:
```
data_AcLaHgRu
_chemical_formula_sum 'Ac4 La4 Hg4 Ru4'
_cell_length_a 7.594
_cell_length_b 7.594
_cell_length_c 7.594
_cell_angle_alpha 90.00
_cell_angle_beta 90.00
_cell_angle_gamma 90.00
_space_group_name_H-M_alt 'F -4 3 m'
_space_group_IT_number 216
_space_group_name_Hall 'F -4 2 3'
loop_
_atom_site_label
_atom_site_type_symbol
_atom_site_fract_x
_atom_site_fract_y
_atom_site_fract_z
Ac1 Ac 0.000 0.000 0.000
La1 La 0.000 0.000 0.500
Hg1 Hg 0.250 0.250 0.750
Ru1 Ru 0.250 0.250 0.250
```